1.
First-principles (PBEsol) data for an optimized crystal structure of Ag3Au2, as listed in Alexandria via LeMat-Bulk.

The excess energy over the best structure of this formula in the dataset is 0.0 meV per atom.

The space group is Immm (No. 71) and the conventional cell measures 2.843, 4.092 and 14.324 Å, with angles of 90.00, 90.00 and 90.00 degrees. The asymmetric unit holds Ag at (0.000, 0.000, 0.000), Ag at (0.000, 0.000, 0.200) and Au at (0.000, 0.000, 0.399).

=====

2.
First-principles (PBEsol) data for an optimized crystal structure of Ag3Au, as listed in Alexandria via LeMat-Bulk.

The space group is R-3m (No. 166, hexagonal axes) and the conventional cell measures 2.8780, 2.8780 and 27.8538 Å, with angles of 90.00, 90.00 and 120.00 degrees. The asymmetric unit holds Ag at (0.0000, 0.0000, 0.0000), Ag at (0.0000, 0.0000, 0.2505) and Au at (0.0000, 0.0000, 0.5000).

=====

3.
First-principles (PBEsol) data for an optimized crystal structure of Ag2Au3, as listed in Alexandria via LeMat-Bulk.

The excess energy over the best structure of this formula in the dataset is 43.2 meV per atom.

The space group is Fdd2 (No. 43) and the conventional cell measures 9.741, 13.898 and 5.018 Å, with angles of 90.00, 90.00 and 90.00 degrees. The asymmetric unit holds Ag at (0.018, 0.299, 0.000), Au at (0.000, 0.000, 0.461) and Au at (0.029, 0.400, 0.476).

=====

4.
First-principles (PBEsol) data for an optimized crystal structure of Ag3Au2, as listed in Alexandria via LeMat-Bulk.

The excess energy over the best structure of this formula in the dataset is 5.0 meV per atom.

The space group is I4/mmm (No. 139) and the conventional cell measures 2.849, 2.849 and 20.506 Å, with angles of 90.00, 90.00 and 90.00 degrees. The asymmetric unit holds Ag at (0.000, 0.000, 0.000), Ag at (0.000, 0.000, 0.200) and Au at (0.000, 0.000, 0.400).

=====

5.
First-principles (PBEsol) data for an optimized crystal structure of Ag3Au2, as listed in Alexandria via LeMat-Bulk.

The excess energy over the best structure of this formula in the dataset is 2.3 meV per atom.

The space group is C2/m (No. 12) and the conventional cell measures 9.026, 4.060 and 6.380 Å, with angles of 90.00, 134.58 and 90.00 degrees. The asymmetric unit holds Ag at (0.000, 0.000, 0.000), Ag at (0.100, 0.500, 0.800) and Au at (0.200, 0.000, 0.601).

=====

6.
First-principles (PBEsol) data for an optimized crystal structure of Ag5Au, as listed in Alexandria via LeMat-Bulk.

The excess energy over the best structure of this formula in the dataset is 5.1 meV per atom.

The space group is P-62m (No. 189) and the conventional cell measures 4.9348, 4.9348 and 4.7319 Å, with angles of 90.00, 90.00 and 120.00 degrees. The asymmetric unit holds Ag at (0.0000, 0.3322, 0.0000), Ag at (0.3333, 0.6667, 0.5000) and Au at (0.0000, 0.0000, 0.5000).

=====

7.
First-principles (PBEsol) data for an optimized crystal structure of Ag3Au, as listed in Alexandria via LeMat-Bulk.

The space group is Immm (No. 71) and the conventional cell measures 4.029, 4.046 and 8.151 Å, with angles of 90.00, 90.00 and 90.00 degrees. The asymmetric unit holds Ag at (0.000, 0.000, 0.000), Ag at (0.000, 0.500, 0.250) and Au at (0.000, 0.000, 0.500).

=====

8.
First-principles (PBEsol) data for an optimized crystal structure of Ag4Au5, as listed in Alexandria via LeMat-Bulk.

The excess energy over the best structure of this formula in the dataset is 81.5 meV per atom.

The space group is P6_3/mcm (No. 193) and the conventional cell measures 8.0137, 8.0137 and 5.5145 Å, with angles of 90.00, 90.00 and 120.00 degrees. The asymmetric unit holds Ag at (0.0000, 0.0000, 0.0000), Ag at (0.0000, 0.3357, 0.2500), Au at (0.0000, 0.3294, 0.7500) and Au at (0.3333, 0.6667, 0.0000).

=====

9.
First-principles (PBEsol) data for an optimized crystal structure of AgAu8, as listed in Alexandria via LeMat-Bulk.

The space group is I4/mmm (No. 139) and the conventional cell measures 8.633, 8.633 and 4.066 Å, with angles of 90.00, 90.00 and 90.00 degrees. The asymmetric unit holds Ag at (0.000, 0.000, 0.000), Au at (0.000, 0.333, 0.000) and Au at (0.166, 0.166, 0.500).

=====

10.
First-principles (PBEsol) data for an optimized crystal structure of Ag3Au2, as listed in Alexandria via LeMat-Bulk.

The excess energy over the best structure of this formula in the dataset is 17.5 meV per atom.

The space group is R-3m (No. 166, hexagonal axes) and the conventional cell measures 2.8712, 2.8712 and 35.0122 Å, with angles of 90.00, 90.00 and 120.00 degrees. The asymmetric unit holds Ag at (0.0000, 0.0000, 0.0000), Ag at (0.0000, 0.0000, 0.1996) and Au at (0.0000, 0.0000, 0.4000).

=====

11.
First-principles (PBEsol) data for an optimized crystal structure of Ag3Au, as listed in Alexandria via LeMat-Bulk.

The space group is Pmmn (No. 59, origin choice 2) and the conventional cell measures 4.694, 5.767 and 4.922 Å, with angles of 90.00, 90.00 and 90.00 degrees. The asymmetric unit holds Ag at (0.250, 0.000, 0.168), Ag at (0.250, 0.250, 0.665) and Au at (0.250, 0.750, 0.670).

=====

12.
First-principles (PBEsol) data for an optimized crystal structure of AgAu4, as listed in Alexandria via LeMat-Bulk.

The excess energy over the best structure of this formula in the dataset is 0.0 meV per atom.

The space group is I4/m (No. 87) and the conventional cell measures 6.430, 6.430 and 4.063 Å, with angles of 90.00, 90.00 and 90.00 degrees. The asymmetric unit holds Ag at (0.000, 0.000, 0.000) and Au at (0.100, 0.300, 0.500).

=====

| no. | calculated formation energy (eV/atom) |
| --- | --- |
| 1 | -0.0538 |
| 2 | -0.0225 |
| 3 | -0.0060 |
| 4 | -0.0488 |
| 5 | -0.0515 |
| 6 | -0.0218 |
| 7 | -0.0427 |
| 8 | 0.0343 |
| 9 | -0.0187 |
| 10 | -0.0363 |
| 11 | -0.0359 |
| 12 | -0.0330 |